Sr5Os3O13: optimized geometry, GGA-PBE.

Values from the calculation:
Its calculated total energy is -295.14 eV for the cell shown.

Unit cell a=7.046 b=14.175 c=5.523 alpha=90.00 beta=90.00 gamma=90.00
Space group Pbam (No. 55)
Inequivalent atoms, fractional coordinates:
Sr: 0.000 0.000 0.000 [2 per cell]
Sr: 0.176 0.277 0.000 [4 per cell]
Sr: 0.176 0.630 0.500 [4 per cell]
Os: 0.000 0.500 0.000 [2 per cell]
Os: 0.164 0.894 0.500 [4 per cell]
O: 0.000 0.000 0.500 [2 per cell]
O: 0.021 0.839 0.246 [8 per cell]
O: 0.121 0.628 0.000 [4 per cell]
O: 0.157 0.296 0.500 [4 per cell]
O: 0.181 0.462 0.248 [8 per cell]